Entry 1:
# Ni2Bi2Ir (PBE-GGA, relaxed)
data_Ni2Bi2Ir
_chemical_formula_sum 'Ni4 Bi4 Ir2'
_cell_length_a 6.961
_cell_length_b 6.961
_cell_length_c 3.668
_cell_angle_alpha 90.00
_cell_angle_beta 90.00
_cell_angle_gamma 90.00
_space_group_name_H-M_alt 'P 4/m b m'
_space_group_IT_number 127
_space_group_name_Hall '-P 4 2ab'
loop_
_atom_site_label
_atom_site_type_symbol
_atom_site_fract_x
_atom_site_fract_y
_atom_site_fract_z
Ni1 Ni 0.126 0.374 0.000
Bi1 Bi 0.179 0.679 0.500
Ir1 Ir 0.000 0.000 0.000
# Crystal system: tetragonal
# E_form: 297.2 meV/atom
# Calculated volume: 17.8 Å³ per atom
# Total magnetic moment: 0.0 μB/f.u.

***

Entry 2:
# NiBi3Ir (PBE-GGA, relaxed)
data_NiBi3Ir
_chemical_formula_sum 'Ni1 Bi3 Ir1'
_cell_length_a 5.312
_cell_length_b 5.312
_cell_length_c 5.312
_cell_angle_alpha 90.00
_cell_angle_beta 90.00
_cell_angle_gamma 90.00
_space_group_name_H-M_alt 'P m -3 m'
_space_group_IT_number 221
_space_group_name_Hall '-P 4 2 3'
loop_
_atom_site_label
_atom_site_type_symbol
_atom_site_fract_x
_atom_site_fract_y
_atom_site_fract_z
Ni1 Ni 0.000 0.000 0.000
Bi1 Bi 0.000 0.500 0.500
Ir1 Ir 0.500 0.500 0.500
# Crystal system: cubic
# Excess energy over the best structure of this formula in the dataset: 718.6 meV/atom
# E_form: 923.2 meV/atom
# Calculated volume: 30.0 Å³ per atom
# Total magnetic moment: 0.0 μB/f.u.

***

Entry 3:
# NiBiIr3 (PBE-GGA, relaxed)
data_NiBiIr3
_chemical_formula_sum 'Ni1 Bi1 Ir3'
_cell_length_a 4.956
_cell_length_b 4.956
_cell_length_c 4.956
_cell_angle_alpha 90.00
_cell_angle_beta 90.00
_cell_angle_gamma 90.00
_space_group_name_H-M_alt 'P m -3 m'
_space_group_IT_number 221
_space_group_name_Hall '-P 4 2 3'
loop_
_atom_site_label
_atom_site_type_symbol
_atom_site_fract_x
_atom_site_fract_y
_atom_site_fract_z
Ni1 Ni 0.000 0.000 0.000
Bi1 Bi 0.500 0.500 0.500
Ir1 Ir 0.000 0.500 0.500
# Crystal system: cubic
# Excess energy over the best structure of this formula in the dataset: 1239.4 meV/atom
# E_form: 2446.3 meV/atom
# Calculated volume: 24.3 Å³ per atom
# Total magnetic moment: 2.0 μB/f.u.

***

Entry 4:
# Ni2Bi8Ir (PBE-GGA, relaxed)
data_Ni2Bi8Ir
_chemical_formula_sum 'Ni4 Bi16 Ir2'
_cell_length_a 14.302
_cell_length_b 8.383
_cell_length_c 5.202
_cell_angle_alpha 90.00
_cell_angle_beta 91.38
_cell_angle_gamma 90.00
_space_group_name_H-M_alt 'C 1 2/m 1'
_space_group_IT_number 12
loop_
_space_group_symop_operation_xyz
'x,y,z'
'-x,-y,-z'
'-x,y,-z'
'x,-y,z'
'x+1/2,y+1/2,z'
'-x+1/2,-y+1/2,-z'
'-x+1/2,y+1/2,-z'
'x+1/2,-y+1/2,z'
loop_
_atom_site_label
_atom_site_type_symbol
_atom_site_fract_x
_atom_site_fract_y
_atom_site_fract_z
Ni1 Ni 0.175 0.000 0.231
Bi1 Bi 0.077 0.264 0.267
Bi2 Bi 0.146 0.500 0.813
Bi3 Bi 0.166 0.000 0.730
Ir1 Ir 0.000 0.000 0.000
# Crystal system: monoclinic
# E_form: 139.8 meV/atom
# Calculated volume: 28.3 Å³ per atom
# Total magnetic moment: 0.0 μB/f.u.

***

Entry 5:
# NiBiIr3 (PBE-GGA, relaxed)
data_NiBiIr3
_chemical_formula_sum 'Ni1 Bi1 Ir3'
_cell_length_a 4.554
_cell_length_b 4.554
_cell_length_c 4.554
_cell_angle_alpha 90.00
_cell_angle_beta 90.00
_cell_angle_gamma 90.00
_space_group_name_H-M_alt 'P m -3 m'
_space_group_IT_number 221
_space_group_name_Hall '-P 4 2 3'
loop_
_atom_site_label
_atom_site_type_symbol
_atom_site_fract_x
_atom_site_fract_y
_atom_site_fract_z
Ni1 Ni 0.000 0.000 0.000
Bi1 Bi 0.500 0.500 0.500
Ir1 Ir 0.000 0.000 0.500
# Crystal system: cubic
# Excess energy over the best structure of this formula in the dataset: 0.0 meV/atom
# E_form: 1206.9 meV/atom
# Calculated volume: 18.9 Å³ per atom
# Total magnetic moment: 1.8 μB/f.u.

***

Entry 6:
# NiBiIr2 (PBE-GGA, relaxed)
data_NiBiIr2
_chemical_formula_sum 'Ni4 Bi4 Ir8'
_cell_length_a 3.970
_cell_length_b 3.970
_cell_length_c 18.301
_cell_angle_alpha 90.00
_cell_angle_beta 90.00
_cell_angle_gamma 90.00
_space_group_name_H-M_alt 'I -4 2 d'
_space_group_IT_number 122
_space_group_name_Hall 'I -4 2bw'
loop_
_atom_site_label
_atom_site_type_symbol
_atom_site_fract_x
_atom_site_fract_y
_atom_site_fract_z
Ni1 Ni 0.000 0.000 0.000
Bi1 Bi 0.000 0.000 0.500
Ir1 Ir 0.190 0.250 0.125
# Crystal system: tetragonal
# E_form: 506.2 meV/atom
# Calculated volume: 18.0 Å³ per atom
# Total magnetic moment: 0.0 μB/f.u.